Entry 1:
The following is a PBE-GGA calculation of HfTlCu3Se4 after structural relaxation, from the Open Quantum Materials Database.

Total magnetization (μB per cell): 0.00

abc: 6.2170 6.2170 6.2170
angles: 90.00 90.00 90.00
With the nearest neighbours (Å) after each atom.
Space group P-43m (No. 215)
Asymmetric unit:
Hf  0.0000  0.0000  0.0000 [1 per cell]  4 Se 2.48
Tl  0.5000  0.5000  0.5000 [1 per cell]  4 Se 2.91
Cu  0.0000  0.0000  0.5000 [3 per cell]  4 Se 2.63
Se  0.2299  0.2299  0.7701 [4 per cell]  1 Hf 2.48, 3 Cu 2.63

---

Entry 2:
The following is a PBE-GGA calculation of KHgB after structural relaxation, from the Open Quantum Materials Database.

Energy above the most stable polymorph in this dataset (eV per formula unit): 1.20

abc: 7.3362 7.3362 7.3362
angles: 90.00 90.00 90.00
With the nearest neighbours (Å) after each atom.
Space group F-43m (No. 216)
Asymmetric unit:
K  0.0000  0.0000  0.0000 [4 per cell]  4 B 3.18, 4 Hg 3.18
Hg  0.2500  0.2500  0.2500 [4 per cell]  4 K 3.18
B  0.2500  0.2500  0.7500 [4 per cell]  4 K 3.18

---

Entry 3:
The following is a PBE-GGA calculation of Hf2Si2W after structural relaxation, from the Open Quantum Materials Database.

Energy above the most stable polymorph in this dataset (eV per formula unit): 0.00
Total magnetization (μB per cell): 0.00

abc: 6.6680 6.6680 3.7574
angles: 90.00 90.00 90.00
With the nearest neighbours (Å) after each atom.
Space group P4/mbm (No. 127)
Asymmetric unit:
Hf  0.1742  0.3258  0.0000 [4 per cell]  6 Si 2.65-2.77
Si  0.1281  0.6281  0.5000 [4 per cell]  1 Si 2.42, 2 W 2.62, 2 Hf 2.65
W  0.0000  0.0000  0.5000 [2 per cell]  4 Si 2.62

---

Entry 4:
The following is a PBE-GGA calculation of HfAl2Pb after structural relaxation, from the Open Quantum Materials Database.

Total magnetization (μB per cell): 0.11

abc: 7.0315 7.0315 7.0315
angles: 90.00 90.00 90.00
With the nearest neighbours (Å) after each atom.
Space group F-43m (No. 216)
Asymmetric unit:
Hf  0.0000  0.0000  0.0000 [4 per cell]  4 Pb 3.04, 4 Al 3.04
Al  0.0000  0.0000  0.5000 [4 per cell]  4 Al 3.04, 4 Pb 3.04
Al  0.2500  0.2500  0.2500 [4 per cell]  4 Hf 3.04, 4 Al 3.04
Pb  0.2500  0.2500  0.7500 [4 per cell]  4 Hf 3.04, 4 Al 3.04

---

Entry 5:
The following is a PBE-GGA calculation of Pm2Ga5Pt3 after structural relaxation, from the Open Quantum Materials Database.

Total magnetization (μB per cell): 0.01

abc: 10.3650 12.6115 5.8450
angles: 90.00 90.00 90.00
With the nearest neighbours (Å) after each atom.
Space group Ibam (No. 72)
Asymmetric unit:
Pm  0.2262  0.1360  0.0000 [8 per cell]  10 Ga 3.17-3.39, 4 Pt 3.18-3.43
Ga  0.0000  0.0000  0.2500 [4 per cell]  4 Pt 2.56
Ga  0.0000  0.2856  0.2500 [8 per cell]  3 Pt 2.56-2.70, 2 Ga 2.65
Ga  0.1623  0.3996  0.0000 [8 per cell]  3 Pt 2.48-2.56, 2 Ga 2.65
Pt  0.0000  0.5000  0.2500 [4 per cell]  6 Ga 2.56-2.70
Pt  0.1043  0.1427  0.5000 [8 per cell]  5 Ga 2.48-2.56

---

Entry 6:
The following is a PBE-GGA calculation of BaSrInHg after structural relaxation, from the Open Quantum Materials Database.

Energy above the most stable polymorph in this dataset (eV per formula unit): 0.00

abc: 8.2566 8.2566 8.2566
angles: 90.00 90.00 90.00
With the nearest neighbours (Å) after each atom.
Space group F-43m (No. 216)
Asymmetric unit:
Ba  0.0000  0.0000  0.0000 [4 per cell]  4 Hg 3.58, 4 In 3.58
Sr  0.0000  0.0000  0.5000 [4 per cell]  4 In 3.58, 4 Hg 3.58
In  0.2500  0.2500  0.2500 [4 per cell]  4 Ba 3.58, 4 Sr 3.58
Hg  0.2500  0.2500  0.7500 [4 per cell]  4 Ba 3.58, 4 Sr 3.58

---

Entry 7:
The following is a PBE-GGA calculation of InSiAgSe2S after structural relaxation, from the Open Quantum Materials Database.

abc: 3.5383 16.0852 9.7919
angles: 90.00 90.00 90.00
With the nearest neighbours (Å) after each atom.
Space group Cmcm (No. 63)
Asymmetric unit:
In  0.0000  0.1595  0.2500 [4 per cell]  2 S 2.63, 2 Ag 2.83, 2 Se 2.94
Si  0.0000  0.5000  0.0000 [4 per cell]  4 Se 2.45, 2 S 2.53
Ag  0.0000  0.2032  0.7500 [4 per cell]  2 Se 2.64, 2 In 2.83
Se  0.0000  0.1035  0.5355 [8 per cell]  2 Si 2.45, 1 Ag 2.64
S  0.0000  0.4615  0.7500 [4 per cell]  2 Si 2.53, 2 In 2.63

---

Entry 8:
The following is a PBE-GGA calculation of LiBeHg2 after structural relaxation, from the Open Quantum Materials Database.

abc: 6.5192 6.5192 6.5192
angles: 90.00 90.00 90.00
With the nearest neighbours (Å) after each atom.
Space group F-43m (No. 216)
Asymmetric unit:
Li  0.0000  0.0000  0.0000 [4 per cell]  4 Hg 2.82, 4 Be 2.82
Be  0.2500  0.2500  0.2500 [4 per cell]  4 Li 2.82, 4 Hg 2.82
Hg  0.0000  0.0000  0.5000 [4 per cell]  4 Be 2.82, 4 Hg 2.82
Hg  0.2500  0.2500  0.7500 [4 per cell]  4 Hg 2.82, 4 Li 2.82

---

Entry 9:
The following is a PBE-GGA calculation of AsPdNO after structural relaxation, from the Open Quantum Materials Database.

Energy above the most stable polymorph in this dataset (eV per formula unit): 0.50

abc: 3.0778 6.3029 5.5072
angles: 90.00 90.00 90.00
With the nearest neighbours (Å) after each atom.
Space group Pmc2_1 (No. 26)
Asymmetric unit:
As  0.0000  0.1525  0.0000 [2 per cell]  1 O 1.78, 2 N 1.92
Pd  0.5000  0.4529  0.5384 [2 per cell]  2 N 2.03-2.05
N  0.5000  0.2699  0.8425 [2 per cell]  2 As 1.92, 2 Pd 2.03-2.05
O  0.0000  0.1073  0.3724 [2 per cell]  1 As 1.78

---

Entry 10:
The following is a PBE-GGA calculation of HfZr2Sn4Au4 after structural relaxation, from the Open Quantum Materials Database.

Total magnetization (μB per cell): 0.01

abc: 6.4586 6.4586 13.0204
angles: 90.00 90.00 90.00
With the nearest neighbours (Å) after each atom.
Space group I-42m (No. 121)
Asymmetric unit:
Hf  0.0000  0.0000  0.0000 [2 per cell]  4 Au 2.72
Zr  0.0000  0.5000  0.2500 [4 per cell]  4 Au 2.80
Sn  0.0000  0.0000  0.2647 [4 per cell]  4 Au 2.78-2.83
Sn  0.0000  0.5000  0.0000 [4 per cell]  4 Au 2.81
Au  0.2383  0.2383  0.8744 [8 per cell]  1 Hf 2.72, 4 Sn 2.78-2.83, 2 Zr 2.80

---

Entry 11:
The following is a PBE-GGA calculation of GaPIrO after structural relaxation, from the Open Quantum Materials Database.

Energy above the most stable polymorph in this dataset (eV per formula unit): 0.00
Total magnetization (μB per cell): 0.04

abc: 3.8690 3.8690 8.2433
angles: 90.00 90.00 90.00
With the nearest neighbours (Å) after each atom.
Space group P4/nmm (No. 129, origin choice 2)
Asymmetric unit:
Ga  0.2500  0.2500  0.0927 [2 per cell]  4 O 2.08
P  0.2500  0.2500  0.6611 [2 per cell]  4 Ir 2.35
Ir  0.2500  0.7500  0.5000 [2 per cell]  4 P 2.35
O  0.2500  0.7500  0.0000 [2 per cell]  4 Ga 2.08

---

Entry 12:
The following is a PBE-GGA calculation of Gd2ErMg3Tl2Cd after structural relaxation, from the Open Quantum Materials Database.

Total magnetization (μB per cell): 0.01

abc: 4.6366 13.0618 7.6032
angles: 90.00 90.00 90.00
With the nearest neighbours (Å) after each atom.
Space group Amm2 (No. 38)
Asymmetric unit:
Gd  0.0000  0.2129  0.0000 [4 per cell]  1 Cd 3.23, 4 Tl 3.24-3.25, 2 Mg 3.43
Er  0.0000  0.0000  0.3617 [2 per cell]  1 Cd 3.20, 4 Tl 3.22, 2 Mg 3.45
Mg  0.5000  0.0000  0.0259 [2 per cell]  2 Tl 2.93, 2 Cd 2.96, 2 Mg 3.15
Mg  0.5000  0.1198  0.6661 [4 per cell]  2 Cd 2.93, 2 Tl 2.94-2.96, 2 Mg 3.13-3.15
Tl  0.5000  0.1651  0.2874 [4 per cell]  3 Mg 2.93-2.96, 2 Er 3.22, 4 Gd 3.24-3.25
Cd  0.0000  0.0000  0.7829 [2 per cell]  6 Mg 2.93-2.96, 1 Er 3.20, 2 Gd 3.23

---

Entry 13:
The following is a PBE-GGA calculation of MgCuTe3Au after structural relaxation, from the Open Quantum Materials Database.

abc: 3.9216 15.3664 9.5321
angles: 90.00 90.00 90.00
With the nearest neighbours (Å) after each atom.
Space group Cmcm (No. 63)
Asymmetric unit:
Mg  0.0000  0.2490  0.2500 [4 per cell]  8 Te 3.03-3.27
Cu  0.0000  0.0318  0.7500 [4 per cell]  4 Te 2.65-2.67
Te  0.0000  0.1575  0.5600 [8 per cell]  1 Cu 2.65
Te  0.0000  0.4143  0.7500 [4 per cell]  2 Cu 2.67, 2 Au 2.72
Au  0.0000  0.5000  0.0000 [4 per cell]  2 Te 2.72

---

Entry 14:
The following is a PBE-GGA calculation of LiNiAsPd after structural relaxation, from the Open Quantum Materials Database.

Energy above the most stable polymorph in this dataset (eV per formula unit): 0.00
Total magnetization (μB per cell): 0.02

abc: 5.9293 5.9293 5.9293
angles: 90.00 90.00 90.00
With the nearest neighbours (Å) after each atom.
Space group F-43m (No. 216)
Asymmetric unit:
Li  0.0000  0.0000  0.0000 [4 per cell]  4 Ni 2.57, 4 Pd 2.57
Ni  0.2500  0.2500  0.7500 [4 per cell]  4 As 2.57, 4 Li 2.57
As  0.0000  0.0000  0.5000 [4 per cell]  4 Ni 2.57, 4 Pd 2.57
Pd  0.2500  0.2500  0.2500 [4 per cell]  4 As 2.57, 4 Li 2.57

---

Entry 15:
The following is a PBE-GGA calculation of Na4BiSbPd2 after structural relaxation, from the Open Quantum Materials Database.

abc: 4.8771 4.8771 6.9365
angles: 90.00 90.00 90.00
With the nearest neighbours (Å) after each atom.
Space group P-4m2 (No. 115)
Asymmetric unit:
Na  0.0000  0.0000  0.0000 [1 per cell]  4 Pd 2.94, 4 Na 2.97
Na  0.0000  0.5000  0.2438 [2 per cell]  4 Na 2.97-3.02, 2 Sb 2.97, 2 Bi 3.02
Na  0.5000  0.5000  0.5000 [1 per cell]  4 Na 3.02, 4 Pd 3.04
Bi  0.0000  0.0000  0.5000 [1 per cell]  4 Na 3.02, 4 Pd 3.04
Sb  0.5000  0.5000  0.0000 [1 per cell]  4 Pd 2.94, 4 Na 2.97
Pd  0.0000  0.5000  0.7627 [2 per cell]  2 Sb 2.94, 4 Na 2.94-3.04, 2 Bi 3.04

---

Entry 16:
The following is a PBE-GGA calculation of LuNiPtPb after structural relaxation, from the Open Quantum Materials Database.

Energy above the most stable polymorph in this dataset (eV per formula unit): 0.81
Total magnetization (μB per cell): 0.00

abc: 6.7384 6.7384 6.7384
angles: 90.00 90.00 90.00
With the nearest neighbours (Å) after each atom.
Space group F-43m (No. 216)
Asymmetric unit:
Lu  0.0000  0.0000  0.0000 [4 per cell]  4 Pb 2.92, 4 Pt 2.92
Ni  0.0000  0.0000  0.5000 [4 per cell]  4 Pt 2.92, 4 Pb 2.92
Pt  0.2500  0.2500  0.7500 [4 per cell]  4 Ni 2.92, 4 Lu 2.92
Pb  0.2500  0.2500  0.2500 [4 per cell]  4 Ni 2.92, 4 Lu 2.92

---

Entry 17:
The following is a PBE-GGA calculation of TaTlO3 after structural relaxation, from the Open Quantum Materials Database.

Total magnetization (μB per cell): 0.02

abc: 9.6066 8.4144 8.1352
angles: 90.00 97.02 90.00
With the nearest neighbours (Å) after each atom.
Space group C2/m (No. 12)
Asymmetric unit:
Ta  0.0000  0.1949  0.0000 [4 per cell]  6 O 1.91-2.09
Ta  0.2373  0.5000  0.8005 [4 per cell]  5 O 1.84-2.01
Tl  0.0000  0.2411  0.5000 [4 per cell]  4 O 2.66-2.78
Tl  0.1964  0.5000  0.2511 [4 per cell]  2 O 2.53-2.82
O  0.1165  0.3406  0.9004 [8 per cell]  2 Ta 1.91-2.01
O  0.1223  0.0000  0.9498 [4 per cell]  3 Ta 2.09-2.30
O  0.1237  0.1716  0.2171 [8 per cell]  2 Ta 1.98-2.01
O  0.1498  0.5000  0.5866 [4 per cell]  1 Ta 1.84

---

Entry 18:
The following is a PBE-GGA calculation of HoTm2In3Co2Cu after structural relaxation, from the Open Quantum Materials Database.

Total magnetization (μB per cell): 0.03

abc: 3.8375 12.7208 7.3346
angles: 90.00 90.00 90.00
With the nearest neighbours (Å) after each atom.
Space group Amm2 (No. 38)
Asymmetric unit:
Ho  0.0000  0.0000  0.0000 [2 per cell]  4 Co 2.94, 1 Cu 3.03, 6 In 3.08-3.28
Tm  0.0000  0.2061  0.6189 [4 per cell]  4 Co 2.93, 1 Cu 3.02, 6 In 3.08-3.27
In  0.5000  0.0000  0.6715 [2 per cell]  2 Cu 2.70, 2 Co 2.77
In  0.5000  0.1302  0.2835 [4 per cell]  2 Cu 2.71, 2 Co 2.75-2.76
Co  0.5000  0.1672  0.9126 [4 per cell]  3 In 2.75-2.77, 4 Tm 2.93, 2 Ho 2.94
Cu  0.0000  0.0000  0.4134 [2 per cell]  6 In 2.70-2.71

---

Entry 19:
The following is a PBE-GGA calculation of Pm3Al after structural relaxation, from the Open Quantum Materials Database.

Energy above the most stable polymorph in this dataset (eV per formula unit): 0.04
Total magnetization (μB per cell): 0.11

abc: 4.8757 4.8757 4.8757
angles: 90.00 90.00 90.00
With the nearest neighbours (Å) after each atom.
Space group Pm-3m (No. 221)
Asymmetric unit:
Pm  0.0000  0.0000  0.5000 [3 per cell]  8 Pm 3.45, 4 Al 3.45
Al  0.5000  0.5000  0.5000 [1 per cell]  12 Pm 3.45

---

Entry 20:
The following is a PBE-GGA calculation of Ho2LuIn3CuAg2 after structural relaxation, from the Open Quantum Materials Database.

Total magnetization (μB per cell): 0.00

abc: 3.8433 13.4274 7.7868
angles: 90.00 90.00 90.00
With the nearest neighbours (Å) after each atom.
Space group Amm2 (No. 38)
Asymmetric unit:
Ho  0.0000  0.2009  0.0000 [4 per cell]  4 Ag 3.06, 1 Cu 3.12, 6 In 3.30-3.35
Lu  0.0000  0.0000  0.6017 [2 per cell]  4 Ag 3.03, 1 Cu 3.11, 6 In 3.31-3.33
In  0.5000  0.0000  0.9481 [2 per cell]  2 Cu 2.76, 2 Ag 2.94
In  0.5000  0.1261  0.3283 [4 per cell]  2 Cu 2.74, 2 Ag 2.94-2.98
Cu  0.0000  0.0000  0.2020 [2 per cell]  6 In 2.74-2.76
Ag  0.5000  0.1649  0.7004 [4 per cell]  3 In 2.94-2.98, 2 Lu 3.03, 4 Ho 3.06

---

Number 1: DFT total energy -4.626 eV per atom. Number 2: DFT total energy -1.158 eV per atom. Number 3: DFT total energy -9.460 eV per atom. Number 4: DFT total energy -4.906 eV per atom. Number 5: DFT total energy -5.190 eV per atom. Number 6: DFT total energy -2.125 eV per atom. Number 7: DFT total energy -3.909 eV per atom. Number 8: DFT total energy -1.356 eV per atom. Number 9: DFT total energy -5.647 eV per atom. Number 10: DFT total energy -5.526 eV per atom. Number 11: DFT total energy -6.224 eV per atom. Number 12: DFT total energy -3.010 eV per atom. Number 13: DFT total energy -3.110 eV per atom. Number 14: DFT total energy -4.720 eV per atom. Number 15: DFT total energy -3.283 eV per atom. Number 16: DFT total energy -5.268 eV per atom. Number 17: DFT total energy -8.075 eV per atom. Number 18: DFT total energy -4.743 eV per atom. Number 19: DFT total energy -4.671 eV per atom. Number 20: DFT total energy -3.895 eV per atom.